Entry 1:
The following is a DFT calculation (PBE-GGA) of Na2FeH2 after structural relaxation.

Lattice parameters (Å, degrees): 7.199 7.199 2.648 90.00 90.00 90.00
Fractional coordinates of all 10 atoms:
Na 0.358 0.858 0.000
Na 0.858 0.642 0.000
Na 0.642 0.142 0.000
Na 0.142 0.358 0.000
Fe 0.000 0.000 0.000
Fe 0.500 0.500 0.000
H 0.153 0.653 0.500
H 0.653 0.847 0.500
H 0.847 0.347 0.500
H 0.347 0.153 0.500

* D(E_F): 7.05 states/eV/cell
* calculated density: 2.51 g/cm³
* total energy: -2.86 eV per atom

Entry 2:
The following is a DFT calculation (PBE-GGA) of NaFe2NiH after structural relaxation.

Lattice parameters (Å, degrees): 4.353 5.543 4.353 90.00 90.00 90.00
Fractional coordinates of all 5 atoms:
Ni 0.000 0.000 0.000
Fe 0.000 0.000 0.500
Fe 0.500 0.000 0.000
H 0.500 0.500 0.500
Na 0.000 0.500 0.000

* D(E_F): 6.38 states/eV/cell
* calculated density: 3.07 g/cm³
* total energy: -4.24 eV per atom